First-principles (GGA-PBE) data for a relaxed structure of InHgBr3, as listed in Alexandria via LeMat-Bulk. Values from VASP.

Output
As for the calculated total energy: -10.303 eV/cell. The value obtained for the calculated volume is 166.49 Å³ per cell. For the total magnetization, the calculation gives 0.000 μB/cell. Its space group is Pm-3m.

```
&SYSTEM
  ibrav = 0, nat = 5, ntyp = 3
/
ATOMIC_SPECIES
In 114.82 In.upf
Hg 200.59 Hg.upf
Br 79.90 Br.upf
CELL_PARAMETERS angstrom
5.501 0.000 0.000
0.000 5.501 0.000
0.000 0.000 5.501
ATOMIC_POSITIONS crystal
In 0.000 0.000 0.000
Hg 0.500 0.500 0.500
Br 0.000 0.000 0.500
Br 0.000 0.500 0.000
Br 0.500 0.000 0.000
```

First-principles (GGA-PBE) data for a relaxed structure of Nd3Y2Ho6, as listed in Alexandria via LeMat-Bulk. Values from VASP.

Output
As for the calculated total energy: -52.457 eV/cell. The value obtained for the calculated volume is 378.71 Å³ per cell. For the total magnetization, the calculation gives 1.453 μB/cell. Its space group is C2/m.

```
&SYSTEM
  ibrav = 0, nat = 11, ntyp = 3
/
ATOMIC_SPECIES
Nd 144.24 Nd.upf
Y 88.91 Y.upf
Ho 164.93 Ho.upf
CELL_PARAMETERS angstrom
3.086 -5.359 0.000
3.086 5.359 0.000
-2.097 0.000 11.450
ATOMIC_POSITIONS crystal
Nd 0.000 0.000 0.000
Nd 0.335 0.665 0.000
Nd 0.665 0.335 0.000
Y 0.166 0.834 0.500
Y 0.834 0.166 0.500
Ho 0.085 0.418 0.253
Ho 0.249 0.249 0.747
Ho 0.418 0.085 0.253
Ho 0.582 0.915 0.747
Ho 0.751 0.751 0.253
Ho 0.915 0.582 0.747
```

First-principles (GGA-PBE) data for a relaxed structure of MnNbHRu2, as listed in Alexandria via LeMat-Bulk. Values from VASP.

Output
As for the calculated total energy: -41.421 eV/cell. The value obtained for the calculated volume is 60.97 Å³ per cell. For the total magnetization, the calculation gives 2.347 μB/cell. Its space group is P4/mmm.

```
&SYSTEM
  ibrav = 0, nat = 5, ntyp = 4
/
ATOMIC_SPECIES
Mn 54.94 Mn.upf
Nb 92.91 Nb.upf
H 1.01 H.upf
Ru 101.07 Ru.upf
CELL_PARAMETERS angstrom
3.928 0.000 0.000
0.000 3.928 0.000
0.000 0.000 3.952
ATOMIC_POSITIONS crystal
Mn 0.000 0.000 0.000
Nb 0.500 0.500 0.000
H 0.500 0.500 0.500
Ru 0.000 0.500 0.500
Ru 0.500 0.000 0.500
```

First-principles (GGA-PBE) data for a relaxed structure of SrLa2Hg, as listed in Alexandria via LeMat-Bulk. Values from VASP.

Output
As for the calculated total energy: -12.687 eV/cell. The value obtained for the calculated volume is 142.69 Å³ per cell. For the total magnetization, the calculation gives 0.000 μB/cell. Its space group is Immm.

```
&SYSTEM
  ibrav = 0, nat = 4, ntyp = 3
/
ATOMIC_SPECIES
Sr 87.62 Sr.upf
La 138.91 La.upf
Hg 200.59 Hg.upf
CELL_PARAMETERS angstrom
-1.904 2.899 6.464
1.904 -2.899 6.464
1.904 2.899 -6.464
ATOMIC_POSITIONS crystal
Sr 0.000 0.000 0.000
La 0.289 0.789 0.500
La 0.711 0.211 0.500
Hg 0.500 0.500 0.000
```

First-principles (GGA-PBE) data for a relaxed structure of NdMgZn3, as listed in Alexandria via LeMat-Bulk. Values from VASP.

Output
As for the calculated total energy: -22.552 eV/cell. The value obtained for the calculated volume is 206.92 Å³ per cell. For the total magnetization, the calculation gives 0.000 μB/cell. Its space group is P2_1/m.

```
&SYSTEM
  ibrav = 0, nat = 10, ntyp = 3
/
ATOMIC_SPECIES
Nd 144.24 Nd.upf
Mg 24.30 Mg.upf
Zn 65.41 Zn.upf
CELL_PARAMETERS angstrom
5.460 0.000 0.000
0.000 6.440 0.000
-1.126 0.000 5.885
ATOMIC_POSITIONS crystal
Nd 0.153 0.250 0.216
Nd 0.847 0.750 0.784
Mg 0.411 0.750 0.118
Mg 0.589 0.250 0.882
Zn 0.017 0.250 0.704
Zn 0.312 0.552 0.622
Zn 0.312 0.948 0.622
Zn 0.688 0.052 0.378
Zn 0.688 0.448 0.378
Zn 0.983 0.750 0.296
```

First-principles (GGA-PBE) data for a relaxed structure of TaMn2Cr, as listed in Alexandria via LeMat-Bulk. Values from VASP.

Output
As for the calculated total energy: -39.315 eV/cell. The value obtained for the calculated volume is 52.16 Å³ per cell. For the total magnetization, the calculation gives 1.173 μB/cell. Its space group is Pm.

```
&SYSTEM
  ibrav = 0, nat = 4, ntyp = 3
/
ATOMIC_SPECIES
Ta 180.95 Ta.upf
Mn 54.94 Mn.upf
Cr 52.00 Cr.upf
CELL_PARAMETERS angstrom
2.644 0.000 0.000
0.000 4.110 0.000
-0.921 0.000 4.800
ATOMIC_POSITIONS crystal
Ta 0.000 0.000 0.000
Mn 0.236 0.500 0.747
Mn 0.516 0.000 0.497
Cr 0.755 0.500 0.288
```

First-principles (GGA-PBE) data for a relaxed structure of Zr2In2Ru, as listed in Alexandria via LeMat-Bulk. Values from VASP.

Output
As for the calculated total energy: -64.444 eV/cell. The value obtained for the calculated volume is 209.44 Å³ per cell. For the total magnetization, the calculation gives 0.000 μB/cell. Its space group is P4/mbm.

```
&SYSTEM
  ibrav = 0, nat = 10, ntyp = 3
/
ATOMIC_SPECIES
Zr 91.22 Zr.upf
In 114.82 In.upf
Ru 101.07 Ru.upf
CELL_PARAMETERS angstrom
7.160 0.000 0.000
0.000 7.160 0.000
0.000 0.000 4.086
ATOMIC_POSITIONS crystal
Zr 0.169 0.331 0.000
Zr 0.331 0.831 0.000
Zr 0.669 0.169 0.000
Zr 0.831 0.669 0.000
In 0.138 0.638 0.500
In 0.362 0.138 0.500
In 0.638 0.862 0.500
In 0.862 0.362 0.500
Ru 0.000 0.000 0.500
Ru 0.500 0.500 0.500
```

First-principles (GGA-PBE) data for a relaxed structure of NaSrTi2W, as listed in Alexandria via LeMat-Bulk. Values from VASP.

Output
As for the calculated total energy: -19.695 eV/cell. The value obtained for the calculated volume is 128.99 Å³ per cell. For the total magnetization, the calculation gives 2.055 μB/cell. Its space group is P4/mmm.

```
&SYSTEM
  ibrav = 0, nat = 5, ntyp = 4
/
ATOMIC_SPECIES
Na 22.99 Na.upf
Sr 87.62 Sr.upf
Ti 47.87 Ti.upf
W 183.84 W.upf
CELL_PARAMETERS angstrom
5.077 0.000 0.000
0.000 5.077 0.000
0.000 0.000 5.004
ATOMIC_POSITIONS crystal
Na 0.000 0.000 0.000
Sr 0.500 0.500 0.500
Ti 0.000 0.500 0.500
Ti 0.500 0.000 0.500
W 0.500 0.500 0.000
```